# Li2PtF

An optimized crystal structure of Li2PtF (PBE-GGA, Alexandria via LeMat-Bulk).

The structure belongs to space group I-42d (No. 122); the cell edges are 5.564, 5.564 and 6.927 Å and the angles 90.00°, 90.00° and 90.00°. Symmetry generates all atoms from Li at (0.136, 0.750, 0.125), Pt at (0.000, 0.000, 0.500) and F at (0.000, 0.000, 0.000).

The calculation puts the size of the total moment at 0.00 Bohr magnetons per cell. The volume comes out at 13.4 Å³ per atom. For the formation energy without anion corrections, the calculation gives -1236 meV per atom. The relative energy among the computed polymorphs is 0.0 meV per atom. As for the density of states at the Fermi level: 0.2254 states/eV/atom.